# Tb2YbS4 PBE-GGA optimized geometry
# - Uncorrected energy: -5.99 eV per atom
# - DOS(E_F): 19.882 states/eV/cell
data_Tb2YbS4
_space_group_name_H-M_alt 'I -4 2 d'
_space_group_IT_number 122
_space_group_name_Hall 'I -4 2bw'
_cell_length_a 8.3715
_cell_length_b 8.3715
_cell_length_c 8.3698
_cell_angle_alpha 90.00
_cell_angle_beta 90.00
_cell_angle_gamma 90.00
loop_
_atom_site_label
_atom_site_type_symbol
_atom_site_fract_x
_atom_site_fract_y
_atom_site_fract_z
_atom_site_occupancy
Tb1 Tb 0.1275 0.2500 0.1250 1
Yb1 Yb 0.0000 0.0000 0.5000 1
S1 S 0.0725 0.1781 0.8068 1

# Tb4ZnS3 PBE-GGA optimized geometry
# - Uncorrected energy: -5.61 eV per atom
# - DOS(E_F): 5.412 states/eV/cell
data_Tb4ZnS3
_space_group_name_H-M_alt 'I 4/m m m'
_space_group_IT_number 139
_space_group_name_Hall '-I 4 2'
_cell_length_a 5.6383
_cell_length_b 5.6383
_cell_length_c 11.2425
_cell_angle_alpha 90.00
_cell_angle_beta 90.00
_cell_angle_gamma 90.00
loop_
_atom_site_label
_atom_site_type_symbol
_atom_site_fract_x
_atom_site_fract_y
_atom_site_fract_z
_atom_site_occupancy
Tb1 Tb 0.0000 0.0000 0.2437 1
Tb2 Tb 0.0000 0.5000 0.0000 1
Zn1 Zn 0.0000 0.0000 0.5000 1
S1 S 0.0000 0.0000 0.0000 1
S2 S 0.0000 0.5000 0.2500 1

# Tb7ZnS5 PBE-GGA optimized geometry
# - Uncorrected energy: -5.79 eV per atom
# - DOS(E_F): 23.601 states/eV/cell
data_Tb7ZnS5
_space_group_name_H-M_alt 'C 1 2/m 1'
_space_group_IT_number 12
_space_group_name_Hall '-C 2y'
_cell_length_a 12.9456
_cell_length_b 3.9247
_cell_length_c 23.5887
_cell_angle_alpha 90.00
_cell_angle_beta 90.05
_cell_angle_gamma 90.00
loop_
_atom_site_label
_atom_site_type_symbol
_atom_site_fract_x
_atom_site_fract_y
_atom_site_fract_z
_atom_site_occupancy
Tb1 Tb 0.0286 0.0000 0.2501 1
Tb2 Tb 0.0892 0.5000 0.1086 1
Tb3 Tb 0.0887 0.5000 0.3915 1
Tb4 Tb 0.1364 0.0000 0.9637 1
Tb5 Tb 0.1365 0.0000 0.5363 1
Tb6 Tb 0.1821 0.5000 0.8250 1
Tb7 Tb 0.1829 0.5000 0.6752 1
Zn1 Zn 0.2022 0.5000 0.2496 1
S1 S 0.0000 0.5000 0.0000 1
S2 S 0.0000 0.5000 0.5000 1
S3 S 0.0474 0.0000 0.6412 1
S4 S 0.0467 0.0000 0.8588 1
S5 S 0.2258 0.0000 0.0704 1
S6 S 0.2256 0.0000 0.4295 1

# Tb3ZnS2 PBE-GGA optimized geometry
# - Uncorrected energy: -5.33 eV per atom
# - DOS(E_F): 6.832 states/eV/cell
data_Tb3ZnS2
_space_group_name_H-M_alt 'I m m m'
_space_group_IT_number 71
_space_group_name_Hall '-I 2 2'
_cell_length_a 3.8995
_cell_length_b 5.6659
_cell_length_c 12.2998
_cell_angle_alpha 90.00
_cell_angle_beta 90.00
_cell_angle_gamma 90.00
loop_
_atom_site_label
_atom_site_type_symbol
_atom_site_fract_x
_atom_site_fract_y
_atom_site_fract_z
_atom_site_occupancy
Tb1 Tb 0.0000 0.0000 0.0000 1
Tb2 Tb 0.0000 0.0000 0.3242 1
Zn1 Zn 0.0000 0.5000 0.0000 1
S1 S 0.0000 0.5000 0.3353 1

Q: Among the records above, which one has the highest uncorrected energy?
A: Tb3ZnS2

Q: Among the records above, which one has the lowest DOS(E_F)?
A: Tb4ZnS3